This record from Alexandria via LeMat-Bulk describes a relaxed Tm2LuIn crystal. The functional is PBE-GGA.

Output
uncorrected energy	-4.172	eV/atom
size of the total moment	0.0	μB/f.u.
energy relative to the lowest polymorph listed for this composition	51	kJ/mol of formula units
energy relative to the elements	-122	meV/atom

Unit cell a=7.587 b=7.587 c=7.587 alpha=90.00 beta=90.00 gamma=90.00
Space group Fm-3m (No. 225)
One atom of each set of equivalent atoms:
Tm (0.250, 0.250, 0.250) x8
Lu (0.000, 0.000, 0.000) x4
In (0.000, 0.000, 0.500) x4


This record from Alexandria via LeMat-Bulk describes a relaxed Er4Si2Sb crystal. The functional is PBE-GGA.

Output
uncorrected energy	-5.351	eV/atom
raw formation energy	-0.605	eV per atom
size of the total moment	0.0	μB/f.u.

Unit cell a=9.201 b=9.204 c=9.242 alpha=90.00 beta=90.00 gamma=90.00
Space group Imma (No. 74)
One atom of each set of equivalent atoms:
Er (0.000, 0.069, 0.209) x8
Er (0.181, 0.250, 0.541) x8
Si (0.000, 0.000, 0.500) x4
Si (0.250, 0.250, 0.250) x4
Sb (0.000, 0.250, 0.875) x4


This record from Alexandria via LeMat-Bulk describes a relaxed K2CdSn2 crystal. The functional is PBE-GGA.

Output
uncorrected energy	-2.226	eV/atom
size of the total moment	0.0	μB/f.u.
energy relative to the lowest polymorph listed for this composition	81	kJ/mol of formula units
energy relative to the elements	-3	meV/atom

Unit cell a=4.301 b=4.301 c=21.457 alpha=90.00 beta=90.00 gamma=90.00
Space group I4/mmm (No. 139)
One atom of each set of equivalent atoms:
K (0.000, 0.000, 0.107) x4
Cd (0.000, 0.000, 0.500) x2
Sn (0.000, 0.500, 0.250) x4


Which value of size of the total moment does entry 2 give?
0.0 μB/f.u.


uncorrected energy of number 2 (Er4Si2Sb)?
-5.351 eV/atom


Among the records above, which one has the lowest uncorrected energy?
Er4Si2Sb